The following is a GGA-PBE calculation of crystalline Y2ErZn3AgAu2 at its relaxed geometry, from OQMD via LeMat-Bulk.

Results
ΔH_f (0 K): -0.586 eV per atom
total magnetic moment: 0.01 μB/f.u.
total energy: -3.99 eV/atom

CIF file:
```
data_Y2ErZn3AgAu2
_chemical_formula_sum 'Y4 Er2 Zn6 Ag2 Au4'
_symmetry_space_group_name_H-M 'A m m 2'
_symmetry_Int_Tables_number 38
_cell_length_a 3.8238
_cell_length_b 13.0239
_cell_length_c 7.5522
_cell_angle_alpha 90.00
_cell_angle_beta 90.00
_cell_angle_gamma 90.00
loop_
_symmetry_equiv_pos_as_xyz
'x,y,z'
'-x,-y,z'
'-x,y,z'
'x,-y,z'
'x,y+1/2,z+1/2'
'-x,-y+1/2,z+1/2'
'-x,y+1/2,z+1/2'
'x,-y+1/2,z+1/2'
loop_
_atom_site_label
_atom_site_type_symbol
_atom_site_fract_x
_atom_site_fract_y
_atom_site_fract_z
Y1 Y 0.0000 0.2026 0.0000
Er1 Er 0.0000 0.0000 0.6082
Zn1 Zn 0.5000 0.0000 0.9429
Zn2 Zn 0.5000 0.1298 0.3332
Ag1 Ag 0.0000 0.0000 0.2049
Au1 Au 0.5000 0.1648 0.7019
```